This record from Alexandria describes a geometry-optimized ThUAg structure. The functional is PBE.

Unit cell a=15.891 b=3.586 c=5.334 alpha=90.00 beta=90.28 gamma=90.00
Space group C2/m (No. 12)
Inequivalent atoms, fractional coordinates:
Th 0.089 0.000 0.307
U 0.243 0.000 0.835
Ag 0.077 0.500 0.816

Summary:
Its theoretical density is 12.6 g cm⁻³. The calculation puts the total moment at 0.314 μB per atom. The final energy is -84.226 eV/cell.